[1]
# PBE ZnRh, optimized geometry
data_ZnRh
_cell_length_a 3.0227
_cell_length_b 3.0227
_cell_length_c 3.0227
_cell_angle_alpha 90.00
_cell_angle_beta 90.00
_cell_angle_gamma 90.00
_space_group_name_H-M_alt 'P 1'
_space_group_IT_number 1
_space_group_name_Hall 'P 1'
loop_
_atom_site_label
_atom_site_fract_x
_atom_site_fract_y
_atom_site_fract_z
Zn1 0.0000 0.0000 0.0000
Rh1 0.5000 0.5000 0.5000
# formation energy from the elements = -0.384 eV/atom
# energy = -0.173 Ha/atom
# N(E_F) = 1.4 states/eV/cell

***

[2]
# PBE ZnRh2, optimized geometry
data_ZnRh2
_cell_length_a 11.8868
_cell_length_b 11.8868
_cell_length_c 11.8868
_cell_angle_alpha 166.80
_cell_angle_beta 166.80
_cell_angle_gamma 18.70
_space_group_name_H-M_alt 'P 1'
_space_group_IT_number 1
_space_group_name_Hall 'P 1'
loop_
_atom_site_label
_atom_site_fract_x
_atom_site_fract_y
_atom_site_fract_z
Zn1 0.3750 0.6250 0.7500
Zn2 0.6250 0.3750 0.2500
Rh1 0.0469 0.7969 0.2500
Rh2 0.2031 0.9531 0.2500
Rh3 0.7969 0.0469 0.7500
Rh4 0.9531 0.2031 0.7500
# formation energy from the elements = 0.017 eV/atom
# energy = -0.195 Ha/atom
# N(E_F) = 8.8 states/eV/cell

***

[3]
# PBE ZnRh, optimized geometry
data_ZnRh
_cell_length_a 4.2430
_cell_length_b 4.2430
_cell_length_c 4.9736
_cell_angle_alpha 90.00
_cell_angle_beta 90.00
_cell_angle_gamma 120.00
_space_group_name_H-M_alt 'P 1'
_space_group_IT_number 1
_space_group_name_Hall 'P 1'
loop_
_atom_site_label
_atom_site_fract_x
_atom_site_fract_y
_atom_site_fract_z
Zn1 0.3333 0.6667 0.2500
Zn2 0.6667 0.3333 0.7500
Rh1 0.3333 0.6667 0.7500
Rh2 0.6667 0.3333 0.2500
# formation energy from the elements = 0.466 eV/atom
# energy = -0.141 Ha/atom
# N(E_F) = 5.3 states/eV/cell

***

[4]
# PBE ZnRh2, optimized geometry
data_ZnRh2
_cell_length_a 3.9206
_cell_length_b 3.9206
_cell_length_c 3.1838
_cell_angle_alpha 90.00
_cell_angle_beta 90.00
_cell_angle_gamma 90.00
_space_group_name_H-M_alt 'P 1'
_space_group_IT_number 1
_space_group_name_Hall 'P 1'
loop_
_atom_site_label
_atom_site_fract_x
_atom_site_fract_y
_atom_site_fract_z
Zn1 0.0000 0.0000 0.0000
Rh1 0.0000 0.5000 0.5000
Rh2 0.5000 0.0000 0.5000
# formation energy from the elements = 0.381 eV/atom
# energy = -0.182 Ha/atom
# N(E_F) = 5.3 states/eV/cell